Pm2N2Cl | PBE | relaxed

```
10
Lattice="7.0493 -2.0767 0.0000 7.0493 2.0767 0.0000 -1.4456 0.0000 6.3505" Properties=species:S:1:pos:R:3 pbc="T T T"
Pm 3.5656 1.3673 5.4547
Pm 8.3645 1.3673 4.0711
Pm 4.2884 -1.3673 2.2794
Pm 9.0873 -1.3673 0.8958
N 3.3367 0.5781 3.0557
N 2.6139 -0.5781 6.2309
N 10.0390 0.5781 0.1196
N 9.3162 -0.5781 3.2949
Cl 6.6879 1.0822 1.5876
Cl 5.9651 -1.0822 4.7629
```

DOS at the Fermi energy: 3.950 states/eV/cell
VASP energy: -6.840 eV/atom
formation energy from raw total energies: -1240 meV/atom
theoretical density: 6.3 g cm⁻³